## SrPt3 (GGA-PBEsol)

Data for a relaxed SrPt3 crystal.

Summary:
DFT formation energy   -0.208 eV/atom
SG   Cmmm (65)
Calculated volume   70.2 Å³/cell
Crystal system   orthorhombic

Cell lengths 5.0230, 5.0230, 2.9234 Å; angles 90.00, 90.00, 107.87 degrees
With the nearest neighbours (Å) after each atom.
Atoms (fractional coordinates):
Sr  0.0000  0.0000  0.0000  10 Pt 2.91-2.96, 2 Sr 2.92
Pt  0.0000  0.5000  0.5000  4 Sr 2.91, 8 Pt 2.91-2.96
Pt  0.5000  0.0000  0.5000  4 Sr 2.91, 8 Pt 2.91-2.96
Pt  0.5000  0.5000  0.0000  10 Pt 2.91-2.92, 2 Sr 2.96


## Sr3Pt (GGA-PBEsol)

Data for a relaxed Sr3Pt crystal.

Summary:
DFT formation energy   -0.151 eV/atom
SG   P4mm (99)
Calculated volume   154.4 Å³/cell
Crystal system   tetragonal

Cell lengths 4.9050, 4.9050, 6.4174 Å; angles 90.00, 90.00, 90.00 degrees
With the nearest neighbours (Å) after each atom.
Atoms (fractional coordinates):
Sr  0.0000  0.0000  0.0000  4 Pt 3.67, 4 Sr 3.84
Sr  0.0000  0.5000  0.4603  2 Pt 3.02
Sr  0.5000  0.0000  0.4603  2 Pt 3.02
Pt  0.5000  0.5000  0.1855  4 Sr 3.02


## Sr3Pt (GGA-PBEsol)

Data for a relaxed Sr3Pt crystal.

Summary:
DFT formation energy   -0.385 eV/atom
SG   R-3m (166)
Calculated volume   165.4 Å³/cell
Crystal system   trigonal

Cell lengths 10.6989, 10.6989, 10.6989 Å; angles 23.09, 23.09, 23.09 degrees
With the nearest neighbours (Å) after each atom.
Atoms (fractional coordinates):
Sr  0.0000  0.0000  0.0000  12 Sr 4.28-4.35
Sr  0.2186  0.2186  0.2186  3 Pt 2.96
Sr  0.7814  0.7814  0.7814  3 Pt 2.96
Pt  0.5000  0.5000  0.5000  6 Sr 2.96


## Sr3Pt2 (GGA-PBEsol)

Data for a relaxed Sr3Pt2 crystal.

Summary:
DFT formation energy   -0.622 eV/atom
SG   P-3m1 (164)
Calculated volume   142.9 Å³/cell
Crystal system   trigonal
Offset from the most stable computed form   5.8 kJ/mol of atoms

Cell lengths 5.1142, 5.1142, 6.3099 Å; angles 90.00, 90.00, 120.00 degrees
With the nearest neighbours (Å) after each atom.
Atoms (fractional coordinates):
Sr  0.0000  0.0000  0.0000  6 Pt 3.14
Sr  0.3333  0.6667  0.3300  5 Pt 3.13-3.17
Sr  0.6667  0.3333  0.6700  5 Pt 3.13-3.17
Pt  0.3333  0.6667  0.8322  8 Sr 3.13-3.17
Pt  0.6667  0.3333  0.1678  8 Sr 3.13-3.17


## Sr5Pt3 (GGA-PBEsol)

Data for a relaxed Sr5Pt3 crystal.

Summary:
DFT formation energy   -0.594 eV/atom
SG   I4/mcm (140)
Calculated volume   445.2 Å³/cell
Crystal system   tetragonal
Offset from the most stable computed form   2.6 kJ/mol of atoms

Cell lengths 8.9853, 8.9853, 8.9853 Å; angles 97.02, 97.02, 139.08 degrees
With the nearest neighbours (Å) after each atom.
Atoms (fractional coordinates):
Sr  0.0839  0.7903  0.8743  4 Pt 3.11-3.27, 1 Sr 3.47
Sr  0.2097  0.0839  0.2936  4 Pt 3.11-3.27, 1 Sr 3.47
Sr  0.2500  0.7500  0.5000  4 Pt 3.04, 2 Sr 3.14
Sr  0.2903  0.5839  0.8743  4 Pt 3.11-3.27, 1 Sr 3.47
Sr  0.4161  0.2903  0.7064  4 Pt 3.11-3.27, 1 Sr 3.47
Sr  0.5839  0.7097  0.2936  4 Pt 3.11-3.27, 1 Sr 3.47
Sr  0.7097  0.4161  0.1257  4 Pt 3.11-3.27, 1 Sr 3.47
Sr  0.7500  0.2500  0.5000  4 Pt 3.04, 2 Sr 3.14
Sr  0.7903  0.9161  0.7064  4 Pt 3.11-3.27, 1 Sr 3.47
Sr  0.9161  0.2097  0.1257  4 Pt 3.11-3.27, 1 Sr 3.47
Pt  0.1546  0.3454  0.5000  6 Sr 3.04-3.27
Pt  0.2500  0.2500  0.0000  8 Sr 3.11, 2 Pt 3.14
Pt  0.3454  0.8454  0.1909  6 Sr 3.04-3.27
Pt  0.6546  0.1546  0.8091  6 Sr 3.04-3.27
Pt  0.7500  0.7500  0.0000  8 Sr 3.11, 2 Pt 3.14
Pt  0.8454  0.6546  0.5000  6 Sr 3.04-3.27


## Sr3Pt (GGA-PBEsol)

Data for a relaxed Sr3Pt crystal.

Summary:
DFT formation energy   -0.379 eV/atom
SG   Imm2 (44)
Calculated volume   154.4 Å³/cell
Crystal system   orthorhombic

Cell lengths 6.7821, 6.7821, 6.7821 Å; angles 145.21, 73.16, 117.93 degrees
With the nearest neighbours (Å) after each atom.
Atoms (fractional coordinates):
Sr  0.0000  0.0000  0.0000  2 Pt 2.96
Sr  0.3099  0.4859  0.8240  2 Pt 3.05
Sr  0.6620  0.4859  0.1760  2 Pt 3.05
Pt  0.3085  0.8085  0.5000  6 Sr 2.96-3.05


## SrTaPt (GGA-PBEsol)

Data for a relaxed SrTaPt crystal.

Summary:
DFT formation energy   0.524 eV/atom
SG   F-43m (216)
Calculated volume   72.9 Å³/cell
Crystal system   cubic
Offset from the most stable computed form   57.0 kJ/mol of atoms

Cell lengths 4.6893, 4.6893, 4.6893 Å; angles 60.00, 60.00, 60.00 degrees
With the nearest neighbours (Å) after each atom.
Atoms (fractional coordinates):
Sr  0.0000  0.0000  0.0000  4 Pt 2.87
Ta  0.5000  0.5000  0.5000  4 Pt 2.87
Pt  0.2500  0.2500  0.2500  4 Ta 2.87, 4 Sr 2.87


## Sr2TaPt (GGA-PBEsol)

Data for a relaxed Sr2TaPt crystal.

Summary:
DFT formation energy   0.596 eV/atom
SG   R-3m (166)
Calculated volume   97.0 Å³/cell
Crystal system   trigonal
Offset from the most stable computed form   48.7 kJ/mol of atoms

Cell lengths 10.3340, 10.3340, 10.3340 Å; angles 18.49, 18.49, 18.49 degrees
With the nearest neighbours (Å) after each atom.
Atoms (fractional coordinates):
Sr  0.2424  0.2424  0.2424  3 Pt 3.00, 6 Sr 3.32
Sr  0.7576  0.7576  0.7576  3 Pt 3.00, 6 Sr 3.32
Ta  0.0000  0.0000  0.0000  6 Ta 3.32, 6 Sr 3.37
Pt  0.5000  0.5000  0.5000  6 Sr 3.00, 6 Pt 3.32


## SrTaPt (GGA-PBEsol)

Data for a relaxed SrTaPt crystal.

Summary:
DFT formation energy   -0.066 eV/atom
SG   I4mm (107)
Calculated volume   71.3 Å³/cell
Crystal system   tetragonal
Offset from the most stable computed form   0.0 kJ/mol of atoms

Cell lengths 6.5641, 6.5641, 6.5641 Å; angles 149.81, 149.81, 43.22 degrees
With the nearest neighbours (Å) after each atom.
Atoms (fractional coordinates):
Sr  0.0000  0.0000  0.0000  4 Sr 3.42, 5 Ta 3.42-3.61, 5 Pt 3.46-3.63
Ta  0.2803  0.2803  0.0000  4 Pt 2.60
Pt  0.7024  0.7024  0.0000  4 Ta 2.60


## Sr2TaPt (GGA-PBEsol)

Data for a relaxed Sr2TaPt crystal.

Summary:
DFT formation energy   0.091 eV/atom
SG   Immm (71)
Calculated volume   124.2 Å³/cell
Crystal system   orthorhombic
Offset from the most stable computed form   0.0 kJ/mol of atoms

Cell lengths 9.4059, 9.4059, 9.4059 Å; angles 158.24, 156.25, 32.43 degrees
With the nearest neighbours (Å) after each atom.
Atoms (fractional coordinates):
Sr  0.1508  0.1508  0.0000  2 Pt 3.25, 2 Ta 3.34, 2 Sr 3.55
Sr  0.8492  0.8492  0.0000  2 Pt 3.25, 2 Ta 3.34, 2 Sr 3.55
Ta  0.5000  0.0000  0.5000  4 Pt 2.63
Pt  0.0000  0.5000  0.5000  4 Ta 2.63


## Sr2TaPt (GGA-PBEsol)

Data for a relaxed Sr2TaPt crystal.

Summary:
DFT formation energy   0.595 eV/atom
SG   Cmmm (65)
Calculated volume   92.8 Å³/cell
Crystal system   orthorhombic
Offset from the most stable computed form   48.6 kJ/mol of atoms

Cell lengths 5.7497, 5.7497, 3.1726 Å; angles 90.00, 90.00, 117.74 degrees
With the nearest neighbours (Å) after each atom.
Atoms (fractional coordinates):
Sr  0.0000  0.5000  0.0000  4 Sr 2.97-3.17, 4 Ta 3.28, 4 Pt 3.28
Sr  0.5000  0.0000  0.0000  4 Sr 2.97-3.17, 4 Ta 3.28, 4 Pt 3.28
Ta  0.0000  0.0000  0.5000  2 Pt 2.97, 2 Ta 3.17, 8 Sr 3.28
Pt  0.5000  0.5000  0.5000  2 Ta 2.97, 2 Pt 3.17, 8 Sr 3.28


## Sr2TaPt (GGA-PBEsol)

Data for a relaxed Sr2TaPt crystal.

Summary:
DFT formation energy   0.411 eV/atom
SG   Pmmm (47)
Calculated volume   98.5 Å³/cell
Crystal system   orthorhombic
Offset from the most stable computed form   31.0 kJ/mol of atoms

Cell lengths 3.0957, 3.3569, 9.4807 Å; angles 90.00, 90.00, 90.00 degrees
With the nearest neighbours (Å) after each atom.
Atoms (fractional coordinates):
Sr  0.0000  0.0000  0.2143  4 Pt 3.06, 4 Sr 3.10-3.36
Sr  0.0000  0.0000  0.7857  4 Pt 3.06, 4 Sr 3.10-3.36
Ta  0.5000  0.5000  0.5000  4 Ta 3.10-3.36
Pt  0.5000  0.5000  0.0000  8 Sr 3.06, 4 Pt 3.10-3.36


Which formula does entry 9 have? SrTaPt


What did the sixth record say?
## Sr3Pt (GGA-PBEsol)

Data for a relaxed Sr3Pt crystal.

Summary:
DFT formation energy   -0.379 eV/atom
SG   Imm2 (44)
Calculated volume   154.4 Å³/cell
Crystal system   orthorhombic

Cell lengths 6.7821, 6.7821, 6.7821 Å; angles 145.21, 73.16, 117.93 degrees
With the nearest neighbours (Å) after each atom.
Atoms (fractional coordinates):
Sr  0.0000  0.0000  0.0000  2 Pt 2.96
Sr  0.3099  0.4859  0.8240  2 Pt 3.05
Sr  0.6620  0.4859  0.1760  2 Pt 3.05
Pt  0.3085  0.8085  0.5000  6 Sr 2.96-3.05